Crystalline BaMoAs2O8 at its relaxed geometry. Source: the Alexandria database, functional GGA+U. Values from VASP.

Structure (Quantum ESPRESSO input):
```
&SYSTEM
  ibrav = 0, nat = 12, ntyp = 4
/
ATOMIC_SPECIES
O 16.00 O.upf
As 74.92 As.upf
Ba 137.33 Ba.upf
Mo 95.94 Mo.upf
CELL_PARAMETERS angstrom
-2.8117 -3.5292 -2.4955
5.1255 -0.5005 0.2602
-0.7597 -4.2269 6.8337
ATOMIC_POSITIONS angstrom
O 1.2422 -5.5168 3.0131
O 0.4799 -5.1762 0.0970
As 1.9292 -4.5731 4.2938
Ba 0.0000 0.0000 0.0000
O 3.6196 -4.2967 4.0321
O -0.2159 -2.7973 -1.1281
Mo -0.3799 -2.1134 3.4169
O 1.0742 -3.0805 4.5014
As -0.3752 -3.6835 0.3046
O 1.7699 -5.4593 5.7265
O 0.3118 -2.7399 1.5853
O -2.0656 -3.9600 0.5663
```

Values from the calculation:
**Total DFT energy (no corrections)**: -78.63 eV per cell